First-principles (PBE) data for a relaxed NdZrOsRh crystal, as listed in the Alexandria database.

Output
V = 316.8 Å³/cell
Fermi-level density of states = 0.42 states/eV per atom
total magnetization = 0.00 Bohr magnetons per cell
formation energy from the elements = -1.441 eV per formula unit

Cell lengths 6.817, 6.817, 6.817 Å; angles 90.00, 90.00, 90.00 degrees
Space group F-43m (No. 216)
Unique sites:
Nd: 0.000 0.000 0.000 [4 per cell]
Zr: 0.000 0.000 0.500 [4 per cell]
Os: 0.250 0.250 0.750 [4 per cell]
Rh: 0.250 0.250 0.250 [4 per cell]

=====

First-principles (PBE) data for a relaxed NdOsRu crystal, as listed in the Alexandria database.

Output
V = 242.1 Å³/cell
Fermi-level density of states = 0.96 states/eV per atom
total magnetization = 0.00 Bohr magnetons per cell
formation energy from the elements = -0.049 eV per formula unit

Cell lengths 10.242, 4.464, 7.241 Å; angles 90.00, 133.01, 90.00 degrees
Space group C2/m (No. 12)
Unique sites:
Nd: 0.065 0.000 0.318 [4 per cell]
Os: 0.155 0.500 0.075 [4 per cell]
Ru: 0.172 0.500 0.747 [4 per cell]